No. 1
# RbPu4Se6, optimized geometry, DFT PBE
data_RbPu4Se6
_chemical_formula_sum 'Rb4 Pu16 Se24'
_symmetry_space_group_name_H-M 'C m c m'
_symmetry_Int_Tables_number 63
_symmetry_space_group_name_Hall '-C 2c 2'
_cell_length_a 4.208
_cell_length_b 13.969
_cell_length_c 22.012
_cell_angle_alpha 90.00
_cell_angle_beta 90.00
_cell_angle_gamma 90.00
loop_
_atom_site_label
_atom_site_type_symbol
_atom_site_fract_x
_atom_site_fract_y
_atom_site_fract_z
_atom_site_occupancy
Rb1 Rb 0.000 0.160 0.250 1
Pu1 Pu 0.000 0.095 0.629 1
Pu2 Pu 0.000 0.364 0.540 1
Se1 Se 0.000 0.000 0.000 1
Se2 Se 0.000 0.149 0.750 1
Se3 Se 0.000 0.270 0.080 1
Se4 Se 0.000 0.464 0.653 1
# * ρ: 7.88 g/cm³
# * M_tot: 0.5 μB per formula unit
# * Fermi-level density of states: 194.1 states/eV/cell
# * formation energy from raw total energies: -1403 meV/atom

=====

No. 2
# SmDyHgPb, optimized geometry, DFT PBE
data_SmDyHgPb
_chemical_formula_sum 'Sm4 Dy4 Hg4 Pb4'
_symmetry_space_group_name_H-M 'F -4 3 m'
_symmetry_Int_Tables_number 216
_symmetry_space_group_name_Hall 'F -4 2 3'
_cell_length_a 7.620
_cell_length_b 7.620
_cell_length_c 7.620
_cell_angle_alpha 90.00
_cell_angle_beta 90.00
_cell_angle_gamma 90.00
loop_
_atom_site_label
_atom_site_type_symbol
_atom_site_fract_x
_atom_site_fract_y
_atom_site_fract_z
_atom_site_occupancy
Sm1 Sm 0.000 0.000 0.000 1
Dy1 Dy 0.000 0.000 0.500 1
Hg1 Hg 0.250 0.250 0.250 1
Pb1 Pb 0.250 0.250 0.750 1
# * ρ: 10.82 g/cm³
# * M_tot: 0.0 μB per formula unit
# * Fermi-level density of states: 20.2 states/eV/cell
# * E above lowest polymorph: 0.0020 eV per atom

=====

No. 3
# ScTa3P, optimized geometry, DFT PBE
data_ScTa3P
_chemical_formula_sum 'Sc1 Ta3 P1'
_symmetry_space_group_name_H-M 'P m -3 m'
_symmetry_Int_Tables_number 221
_symmetry_space_group_name_Hall '-P 4 2 3'
_cell_length_a 4.653
_cell_length_b 4.653
_cell_length_c 4.653
_cell_angle_alpha 90.00
_cell_angle_beta 90.00
_cell_angle_gamma 90.00
loop_
_atom_site_label
_atom_site_type_symbol
_atom_site_fract_x
_atom_site_fract_y
_atom_site_fract_z
_atom_site_occupancy
Sc1 Sc 0.000 0.000 0.000 1
Ta1 Ta 0.000 0.500 0.500 1
P1 P 0.500 0.500 0.500 1
# * ρ: 10.20 g/cm³
# * M_tot: 0.0 μB per formula unit
# * Fermi-level density of states: 5.6 states/eV/cell
# * E above lowest polymorph: 0.0000 eV per atom